[1]
CaNd4Ir4: relaxed, PBE.

Summary:
Formation enthalpy at 0 K in eV per atom: -0.457
Total magnetization in μB per cell: 0.00
Crystal system: tetragonal

Cell: 5.808 9.081 9.081 Å, 90.00 90.00 90.00°
Element x y z (fractional)
Nd 0.620 0.086 0.321
Nd 0.620 0.914 0.679
Nd 0.380 0.321 0.914
Nd 0.120 0.179 0.586
Nd 0.880 0.414 0.179
Nd 0.380 0.679 0.086
Nd 0.120 0.821 0.414
Nd 0.880 0.586 0.821
Ca 0.500 0.500 0.500
Ca 0.000 0.000 0.000
Ir 0.377 0.631 0.778
Ir 0.377 0.369 0.222
Ir 0.623 0.778 0.369
Ir 0.123 0.131 0.278
Ir 0.623 0.222 0.631
Ir 0.123 0.869 0.722
Ir 0.877 0.278 0.869
Ir 0.877 0.722 0.131

=====

[2]
SrCuP: relaxed, PBE.

Summary:
Formation enthalpy at 0 K in eV per atom: -0.684
Total magnetization in μB per cell: 0.00
Crystal system: triclinic

Cell: 4.133 7.608 5.337 Å, 81.57 90.05 57.15°
Element x y z (fractional)
Sr 0.780 0.580 0.289
Sr 0.695 0.165 0.920
Cu 0.923 0.937 0.479
Cu 0.552 0.809 0.731
P 0.207 0.653 0.850
P 0.268 0.093 0.359

=====

[3]
GeSbMoW: relaxed, PBE.

Summary:
Offset from the most stable computed form in eV per atom: 0.0000
Total magnetization in μB per cell: 0.00
Crystal system: tetragonal
E_form (uncorrected) in eV per atom: 0.147

Cell: 3.367 3.367 6.125 Å, 90.00 90.00 90.00°
Element x y z (fractional)
Mo 0.500 0.500 0.726
Sb 0.000 0.000 0.956
Ge 0.500 0.500 0.271
W 0.000 0.000 0.439

=====

[4]
Mg5Hg3I12: relaxed, PBE.

Summary:
Total magnetization in μB per cell: 0.00
Crystal system: cubic
E_form (uncorrected) in eV per atom: -0.668

Cell: 16.046 16.046 16.046 Å, 109.47 109.47 109.47°
Element x y z (fractional)
Hg 0.875 0.750 0.125
Hg 0.125 0.875 0.750
Hg 0.750 0.875 0.625
Hg 0.750 0.375 0.125
Hg 0.125 0.250 0.875
Hg 0.375 0.750 0.625
Hg 0.375 0.625 0.250
Hg 0.625 0.250 0.375
Hg 0.250 0.125 0.375
Hg 0.875 0.125 0.250
Hg 0.250 0.625 0.875
Hg 0.625 0.375 0.750
I 0.201 0.679 0.087
I 0.408 0.022 0.321
I 0.114 0.413 0.092
I 0.592 0.614 0.413
I 0.799 0.478 0.386
I 0.799 0.321 0.913
I 0.386 0.408 0.087
I 0.321 0.799 0.413
I 0.478 0.799 0.886
I 0.022 0.614 0.701
I 0.978 0.386 0.299
I 0.592 0.978 0.679
I 0.913 0.821 0.799
I 0.886 0.587 0.908
I 0.092 0.913 0.114
I 0.614 0.592 0.913
I 0.679 0.201 0.587
I 0.087 0.908 0.386
I 0.299 0.886 0.978
I 0.114 0.701 0.522
I 0.522 0.201 0.114
I 0.913 0.092 0.614
I 0.179 0.092 0.978
I 0.087 0.179 0.201
I 0.978 0.592 0.179
I 0.701 0.114 0.022
I 0.679 0.478 0.592
I 0.701 0.587 0.179
I 0.587 0.701 0.679
I 0.386 0.978 0.799
I 0.478 0.679 0.092
I 0.886 0.299 0.478
I 0.201 0.522 0.614
I 0.092 0.179 0.478
I 0.299 0.413 0.821
I 0.587 0.886 0.408
I 0.179 0.087 0.701
I 0.821 0.913 0.299
I 0.413 0.299 0.321
I 0.321 0.522 0.408
I 0.614 0.022 0.201
I 0.413 0.114 0.592
I 0.022 0.408 0.821
I 0.408 0.386 0.587
I 0.908 0.821 0.522
I 0.522 0.321 0.908
I 0.821 0.908 0.022
I 0.908 0.087 0.886
Mg 0.625 0.750 0.875
Mg 0.500 0.000 0.000
Mg 0.250 0.875 0.125
Mg 0.000 0.000 0.000
Mg 0.500 0.000 0.500
Mg 0.625 0.875 0.250
Mg 0.375 0.250 0.125
Mg 0.375 0.125 0.750
Mg 0.750 0.125 0.875
Mg 0.250 0.375 0.625
Mg 0.125 0.750 0.375
Mg 0.875 0.625 0.750
Mg 0.875 0.250 0.625
Mg 0.000 0.500 0.500
Mg 0.125 0.375 0.250
Mg 0.000 0.000 0.500
Mg 0.500 0.500 0.000
Mg 0.750 0.625 0.375
Mg 0.000 0.500 0.000
Mg 0.500 0.500 0.500

=====

[5]
KEuSn2: relaxed, PBE.

Summary:
Formation enthalpy at 0 K in eV per atom: -0.351
Total magnetization in μB per cell: 7.39
Crystal system: tetragonal

Cell: 4.185 4.185 7.951 Å, 90.00 90.00 90.00°
Element x y z (fractional)
Sn 0.000 0.000 0.195
Sn 0.000 0.000 0.805
Eu 0.500 0.500 0.000
K 0.500 0.500 0.500

=====

[6]
CeErTcOs: relaxed, PBE.

Summary:
Formation enthalpy at 0 K in eV per atom: -0.094
Total magnetization in μB per cell: 0.00
Crystal system: cubic

Cell: 4.832 4.832 4.832 Å, 60.00 60.00 60.00°
Element x y z (fractional)
Ce 0.750 0.750 0.750
Os 0.000 0.000 0.000
Er 0.250 0.250 0.250
Tc 0.500 0.500 0.500